1.
Below is a relaxed Ni8MoIr2 crystal, with properties calculated at the PBE level.

```
data_Ni8MoIr2
_chemical_formula_sum 'Ni8 Mo1 Ir2'
_cell_length_a 4.446
_cell_length_b 5.740
_cell_length_c 5.749
_cell_angle_alpha 106.38
_cell_angle_beta 105.32
_cell_angle_gamma 97.78
_symmetry_space_group_name_H-M 'P 1'
_symmetry_Int_Tables_number 1
loop_
_symmetry_equiv_pos_as_xyz
'x,y,z'
loop_
_atom_site_label
_atom_site_type_symbol
_atom_site_fract_x
_atom_site_fract_y
_atom_site_fract_z
Ni1 Ni 0.049 0.411 0.187
Ni2 Ni 0.135 0.234 0.549
Ni3 Ni 0.225 0.045 0.911
Ni4 Ni 0.409 0.681 0.638
Ni5 Ni 0.591 0.319 0.362
Ni6 Ni 0.775 0.955 0.089
Ni7 Ni 0.865 0.766 0.451
Ni8 Ni 0.951 0.589 0.813
Mo1 Mo 0.500 0.500 0.000
Ir1 Ir 0.316 0.864 0.270
Ir2 Ir 0.684 0.136 0.730
```

Computed properties:
Uncorrected energy in eV per atom: -6.834
Symmetry: P-1
ΔE_f in eV per atom: -0.0340
Crystal system: triclinic

=====

2.
Below is a relaxed Ni2MoIr crystal, with properties calculated at the PBE level.

```
data_Ni2MoIr
_chemical_formula_sum 'Ni2 Mo1 Ir1'
_cell_length_a 4.595
_cell_length_b 4.595
_cell_length_c 4.491
_cell_angle_alpha 100.14
_cell_angle_beta 100.14
_cell_angle_gamma 34.19
_symmetry_space_group_name_H-M 'P 1'
_symmetry_Int_Tables_number 1
loop_
_symmetry_equiv_pos_as_xyz
'x,y,z'
loop_
_atom_site_label
_atom_site_type_symbol
_atom_site_fract_x
_atom_site_fract_y
_atom_site_fract_z
Ni1 Ni 0.000 0.000 0.000
Ni2 Ni 0.747 0.747 0.225
Mo1 Mo 0.498 0.498 0.487
Ir1 Ir 0.254 0.254 0.738
```

Computed properties:
Uncorrected energy in eV per atom: -7.873
Symmetry: Cm
ΔE_f in eV per atom: -0.0593
Energy above the most stable polymorph in this dataset in meV per atom: 134.4
Crystal system: monoclinic